(1)
Material: K2ScRh
Method: DFT, GGA-PBE
State: optimized geometry

Unit cell a=5.2879 b=5.2879 c=5.2879 alpha=120.06 beta=120.06 gamma=89.89
Closest atoms and distances in Å follow each position.
Fractional coordinates of all 4 atoms:
Rh1 0.5000 0.5000 0.0000  4 Sc 3.24, 4 K 3.24
K1 0.2500 0.7500 0.5000  4 K 3.24, 4 Rh 3.24
K2 0.0000 0.0000 0.0000  4 K 3.24, 4 Sc 3.24
Sc1 0.7500 0.2500 0.5000  4 Rh 3.24, 4 K 3.24

Calculated values
Spin magnetization   0.000 μB per cell
SG   I-4m2 (119)
Raw total energy   -3.41 eV/atom
Formation energy   54 kJ per mole of atoms

(2)
Material: Pr3I2
Method: DFT, GGA-PBE
State: optimized geometry

Unit cell a=7.0911 b=7.0911 c=9.3039 alpha=67.60 beta=67.60 gamma=60.00
Closest atoms and distances in Å follow each position.
Fractional coordinates of all 10 atoms:
Pr1 0.8971 0.2500 0.2500  4 I 3.18-3.19
Pr2 0.2500 0.6029 0.2500  4 I 3.18-3.19
Pr3 0.7500 0.3971 0.7500  4 I 3.18-3.19
Pr4 0.6029 0.8971 0.2500  4 I 3.18-3.19
Pr5 0.3971 0.1029 0.7500  4 I 3.18-3.19
Pr6 0.1029 0.7500 0.7500  4 I 3.18-3.19
I1 0.3292 0.3292 0.0125  6 Pr 3.18-3.19
I2 0.6708 0.6708 0.9875  6 Pr 3.18-3.19
I3 0.8292 0.8292 0.5125  6 Pr 3.18-3.19
I4 0.1708 0.1708 0.4875  6 Pr 3.18-3.19

Calculated values
Spin magnetization   0.000 μB per cell
SG   R-3c (167)
Raw total energy   -3.99 eV/atom

(3)
Material: H3OsAu
Method: DFT, GGA-PBE
State: optimized geometry

Unit cell a=3.5252 b=3.5252 c=3.5252 alpha=90.00 beta=90.00 gamma=90.00
Closest atoms and distances in Å follow each position.
Fractional coordinates of all 5 atoms:
H1 0.0000 0.5000 0.0000  2 Os 1.76
H2 0.0000 0.0000 0.5000  2 Os 1.76
H3 0.5000 0.0000 0.0000  2 Os 1.76
Au1 0.5000 0.5000 0.5000  12 H 2.49
Os1 0.0000 0.0000 0.0000  6 H 1.76

Calculated values
Spin magnetization   0.000 μB per cell
SG   Pm-3m (221)
Raw total energy   -4.33 eV/atom

(4)
Material: RbTlBr2O6
Method: DFT, GGA-PBE
State: optimized geometry

Unit cell a=7.8896 b=7.8896 c=7.5861 alpha=100.73 beta=100.73 gamma=97.43
Closest atoms and distances in Å follow each position.
Fractional coordinates of all 20 atoms:
Br1 0.9227 0.6909 0.7036  3 O 1.68-1.70
Br2 0.6909 0.9227 0.2036  3 O 1.68-1.70
Br3 0.3091 0.0773 0.7964  3 O 1.68-1.70
Br4 0.0773 0.3091 0.2964  3 O 1.68-1.70
O1 0.6304 0.0869 0.3422  1 Br 1.69
O2 0.1632 0.1687 0.1572  1 Br 1.68
O3 0.7668 0.5089 0.6244  1 Br 1.70
O4 0.8313 0.8368 0.3428  1 Br 1.68
O5 0.1687 0.1632 0.6572  1 Br 1.68
O6 0.9131 0.3696 0.1578  1 Br 1.69
O7 0.4911 0.2332 0.8756  1 Br 1.70
O8 0.5089 0.7668 0.1244  1 Br 1.70
O9 0.2332 0.4911 0.3756  1 Br 1.70
O10 0.8368 0.8313 0.8428  1 Br 1.68
O11 0.3696 0.9131 0.6578  1 Br 1.69
O12 0.0869 0.6304 0.8422  1 Br 1.69
Rb1 0.8173 0.1827 0.7500  6 O 2.95-3.08
Rb2 0.1827 0.8173 0.2500  6 O 2.95-3.08
Tl1 0.5836 0.4164 0.2500  6 O 2.85-3.18
Tl2 0.4164 0.5836 0.7500  6 O 2.85-3.18

Calculated values
Spin magnetization   0.000 μB per cell
SG   C2/c (15)
Raw total energy   -4.05 eV/atom

Q: Which of these has the lowest raw total energy?
A: H3OsAu